First-principles (PBE-GGA) data for crystalline KSrTaCl2 at its relaxed geometry, as listed in Alexandria via LeMat-Bulk.

Cell: 5.682 6.642 5.682 Å, 90.00 90.00 90.00°
Fractional coordinates of all 5 atoms:
K  0.500  0.500  0.500
Cl  0.500  0.000  0.000
Cl  0.000  0.000  0.500
Sr  0.000  0.000  0.000
Ta  0.000  0.500  0.000

Output
formation energy from raw total energies: -51 meV/atom
density: 2.93 g/cm3
DOS at the Fermi energy: 3.56 states/eV/f.u.